Record 1
VASP calculation (PBE) on an optimized crystal structure of KNaMg3.

Structure (CIF):
```
data_KNaMg3
_symmetry_space_group_name_H-M 'P 1'
_symmetry_Int_Tables_number 1
_cell_length_a 6.372
_cell_length_b 6.372
_cell_length_c 6.372
_cell_angle_alpha 90.00
_cell_angle_beta 90.00
_cell_angle_gamma 90.00
loop_
_symmetry_equiv_pos_as_xyz
'x,y,z'
loop_
_atom_site_label
_atom_site_fract_x
_atom_site_fract_y
_atom_site_fract_z
Na1 0.500 0.500 0.500
K1 0.000 0.000 0.000
Mg1 0.000 0.000 0.500
Mg2 0.500 0.000 0.000
Mg3 0.000 0.500 0.000
```

Summary:
Electronic total energy, eV/atom: -0.659
Formation energy, meV per atom: 781
Size of the total moment, μB per formula unit: 0.0

Record 2
VASP calculation (PBE) on an optimized crystal structure of Tb6CePr2.

Structure (CIF):
```
data_Tb6CePr2
_symmetry_space_group_name_H-M 'P 1'
_symmetry_Int_Tables_number 1
_cell_length_a 5.632
_cell_length_b 10.689
_cell_length_c 10.688
_cell_angle_alpha 77.53
_cell_angle_beta 90.00
_cell_angle_gamma 90.00
loop_
_symmetry_equiv_pos_as_xyz
'x,y,z'
loop_
_atom_site_label
_atom_site_fract_x
_atom_site_fract_y
_atom_site_fract_z
Pr1 0.750 0.744 0.606
Pr2 0.750 0.394 0.256
Tb1 0.250 0.965 0.624
Tb2 0.250 0.044 0.167
Tb3 0.750 0.035 0.376
Tb4 0.250 0.833 0.956
Tb5 0.750 0.403 0.795
Tb6 0.750 0.624 0.965
Ce1 0.750 0.820 0.180
Tb7 0.750 0.205 0.597
Tb8 0.750 0.167 0.044
Pr3 0.250 0.256 0.394
Pr4 0.250 0.606 0.744
Tb9 0.250 0.795 0.403
Tb10 0.250 0.597 0.205
Tb11 0.250 0.376 0.035
Tb12 0.750 0.956 0.833
Ce2 0.250 0.180 0.820
```

Summary:
Electronic total energy, eV/atom: -4.601
Formation energy, meV per atom: 207
Size of the total moment, μB per formula unit: 1.1

Record 3
VASP calculation (PBE) on an optimized crystal structure of Ni2BiPBr.

Structure (CIF):
```
data_Ni2BiPBr
_symmetry_space_group_name_H-M 'P 1'
_symmetry_Int_Tables_number 1
_cell_length_a 4.317
_cell_length_b 5.529
_cell_length_c 4.317
_cell_angle_alpha 90.00
_cell_angle_beta 90.00
_cell_angle_gamma 90.00
loop_
_symmetry_equiv_pos_as_xyz
'x,y,z'
loop_
_atom_site_label
_atom_site_fract_x
_atom_site_fract_y
_atom_site_fract_z
Bi1 0.500 0.500 0.500
Ni1 0.500 0.000 0.000
Ni2 0.000 0.000 0.500
Br1 0.000 0.500 0.000
P1 0.000 0.000 0.000
```

Summary:
Formation energy from raw total energies, eV per atom: 0.34
Electronic total energy, eV/atom: -4.161
Size of the total moment, μB per formula unit: 0.4

Record 4
VASP calculation (PBE) on an optimized crystal structure of AcNiH.

Structure (CIF):
```
data_AcNiH
_symmetry_space_group_name_H-M 'P 1'
_symmetry_Int_Tables_number 1
_cell_length_a 4.040
_cell_length_b 4.040
_cell_length_c 4.664
_cell_angle_alpha 115.67
_cell_angle_beta 115.67
_cell_angle_gamma 90.00
loop_
_symmetry_equiv_pos_as_xyz
'x,y,z'
loop_
_atom_site_label
_atom_site_fract_x
_atom_site_fract_y
_atom_site_fract_z
Ac1 0.646 0.646 0.292
H1 0.997 0.997 0.994
Ni1 0.207 0.207 0.413
```

Summary:
Electronic total energy, eV/atom: -4.565
Size of the total moment, μB per formula unit: 0.0

Record 5
VASP calculation (PBE) on an optimized crystal structure of RbVSb2.

Structure (CIF):
```
data_RbVSb2
_symmetry_space_group_name_H-M 'P 1'
_symmetry_Int_Tables_number 1
_cell_length_a 6.420
_cell_length_b 6.420
_cell_length_c 9.237
_cell_angle_alpha 69.66
_cell_angle_beta 69.66
_cell_angle_gamma 90.00
loop_
_symmetry_equiv_pos_as_xyz
'x,y,z'
loop_
_atom_site_label
_atom_site_fract_x
_atom_site_fract_y
_atom_site_fract_z
Sb1 0.375 0.625 0.250
Rb1 0.000 0.000 0.000
Rb2 0.750 0.250 0.500
Sb2 0.375 0.625 0.750
Sb3 0.875 0.625 0.750
V1 0.500 0.500 0.000
Sb4 0.375 0.125 0.250
V2 0.250 0.750 0.500
```

Summary:
Formation energy from raw total energies, eV per atom: 0.01
Electronic total energy, eV/atom: -4.570
Size of the total moment, μB per formula unit: 1.7

Record 6
VASP calculation (PBE) on an optimized crystal structure of KGe3Os.

Structure (CIF):
```
data_KGe3Os
_symmetry_space_group_name_H-M 'P 1'
_symmetry_Int_Tables_number 1
_cell_length_a 5.189
_cell_length_b 5.189
_cell_length_c 5.189
_cell_angle_alpha 90.00
_cell_angle_beta 90.00
_cell_angle_gamma 90.00
loop_
_symmetry_equiv_pos_as_xyz
'x,y,z'
loop_
_atom_site_label
_atom_site_fract_x
_atom_site_fract_y
_atom_site_fract_z
Ge1 0.000 0.000 0.500
Ge2 0.000 0.500 0.000
Ge3 0.500 0.000 0.000
Os1 0.500 0.500 0.500
K1 0.000 0.000 0.000
```

Summary:
Electronic total energy, eV/atom: -2.681
Formation energy, meV per atom: 2555
Size of the total moment, μB per formula unit: 2.6

Record 7
VASP calculation (PBE) on an optimized crystal structure of Tb2Cu2Ni.

Structure (CIF):
```
data_Tb2Cu2Ni
_symmetry_space_group_name_H-M 'P 1'
_symmetry_Int_Tables_number 1
_cell_length_a 3.918
_cell_length_b 5.327
_cell_length_c 10.107
_cell_angle_alpha 89.73
_cell_angle_beta 78.82
_cell_angle_gamma 68.42
loop_
_symmetry_equiv_pos_as_xyz
'x,y,z'
loop_
_atom_site_label
_atom_site_fract_x
_atom_site_fract_y
_atom_site_fract_z
Ni1 0.613 0.097 0.676
Tb1 0.329 0.683 0.659
Tb2 0.074 0.732 0.121
Tb3 0.926 0.268 0.879
Cu1 0.900 0.753 0.447
Cu2 0.369 0.151 0.111
Tb4 0.671 0.317 0.341
Cu3 0.631 0.849 0.889
Cu4 0.100 0.247 0.553
Ni2 0.387 0.903 0.324
```

Summary:
Electronic total energy, eV/atom: -4.959
Formation energy, meV per atom: -312
Size of the total moment, μB per formula unit: 0.0

Record 8
VASP calculation (PBE) on an optimized crystal structure of Cs2CuTe2Se6.

Structure (CIF):
```
data_Cs2CuTe2Se6
_symmetry_space_group_name_H-M 'P 1'
_symmetry_Int_Tables_number 1
_cell_length_a 7.035
_cell_length_b 7.035
_cell_length_c 9.006
_cell_angle_alpha 98.01
_cell_angle_beta 98.01
_cell_angle_gamma 121.00
loop_
_symmetry_equiv_pos_as_xyz
'x,y,z'
loop_
_atom_site_label
_atom_site_fract_x
_atom_site_fract_y
_atom_site_fract_z
Se1 0.066 0.386 0.680
Cs1 0.834 0.166 0.000
Se2 0.934 0.614 0.320
Te1 0.670 0.330 0.500
Se3 0.239 0.239 0.336
Se4 0.761 0.761 0.664
Cu1 0.000 0.000 0.500
Se5 0.614 0.934 0.320
Se6 0.386 0.066 0.680
Te2 0.330 0.670 0.500
Cs2 0.166 0.834 0.000
```

Summary:
Formation energy from raw total energies, eV per atom: -0.34
Electronic total energy, eV/atom: -3.343
Size of the total moment, μB per formula unit: 0.8

Record 9
VASP calculation (PBE) on an optimized crystal structure of Be6CoRu.

Structure (CIF):
```
data_Be6CoRu
_symmetry_space_group_name_H-M 'P 1'
_symmetry_Int_Tables_number 1
_cell_length_a 3.643
_cell_length_b 4.251
_cell_length_c 4.560
_cell_angle_alpha 90.00
_cell_angle_beta 90.00
_cell_angle_gamma 90.00
loop_
_symmetry_equiv_pos_as_xyz
'x,y,z'
loop_
_atom_site_label
_atom_site_fract_x
_atom_site_fract_y
_atom_site_fract_z
Be1 0.000 0.154 0.747
Be2 0.000 0.677 0.500
Co1 0.500 0.363 0.500
Be3 0.500 0.854 0.737
Ru1 0.000 0.646 0.000
Be4 0.500 0.300 0.000
Be5 0.500 0.854 0.263
Be6 0.000 0.154 0.253
```

Summary:
Electronic total energy, eV/atom: -5.154
Formation energy, meV per atom: -311
Size of the total moment, μB per formula unit: 0.0

Record 10
VASP calculation (PBE) on an optimized crystal structure of Pr5Dy4Hg4.

Structure (CIF):
```
data_Pr5Dy4Hg4
_symmetry_space_group_name_H-M 'P 1'
_symmetry_Int_Tables_number 1
_cell_length_a 5.193
_cell_length_b 9.125
_cell_length_c 9.125
_cell_angle_alpha 85.36
_cell_angle_beta 73.47
_cell_angle_gamma 73.47
loop_
_symmetry_equiv_pos_as_xyz
'x,y,z'
loop_
_atom_site_label
_atom_site_fract_x
_atom_site_fract_y
_atom_site_fract_z
Pr1 0.380 0.307 0.934
Dy1 0.602 0.302 0.495
Dy2 0.097 0.505 0.302
Pr2 0.313 0.066 0.307
Pr3 0.620 0.693 0.066
Hg1 0.243 0.666 0.847
Dy3 0.903 0.495 0.698
Pr4 0.687 0.934 0.693
Hg2 0.090 0.153 0.666
Hg3 0.757 0.334 0.153
Pr5 0.000 0.000 0.000
Hg4 0.910 0.847 0.334
Dy4 0.398 0.698 0.505
```

Summary:
Electronic total energy, eV/atom: -3.654
Formation energy, meV per atom: -307
Size of the total moment, μB per formula unit: 0.0

Record 11
VASP calculation (PBE) on an optimized crystal structure of DyFe5C2.

Structure (CIF):
```
data_DyFe5C2
_symmetry_space_group_name_H-M 'P 1'
_symmetry_Int_Tables_number 1
_cell_length_a 3.349
_cell_length_b 5.489
_cell_length_c 5.489
_cell_angle_alpha 71.25
_cell_angle_beta 72.23
_cell_angle_gamma 72.23
loop_
_symmetry_equiv_pos_as_xyz
'x,y,z'
loop_
_atom_site_label
_atom_site_fract_x
_atom_site_fract_y
_atom_site_fract_z
Dy1 0.000 0.000 0.000
C1 0.246 0.254 0.254
Fe1 0.663 0.524 0.150
Fe2 0.337 0.850 0.476
Fe3 0.663 0.150 0.524
C2 0.754 0.746 0.746
Fe4 0.337 0.476 0.850
Fe5 0.000 0.500 0.500
```

Summary:
Electronic total energy, eV/atom: -8.163
Formation energy, meV per atom: 8
Size of the total moment, μB per formula unit: 8.8